1.
Crystalline Tl2Ga2Pb at its relaxed geometry. Source: Alexandria, functional PBE-GGA.

Calculated values
DFT formation energy (eV per atom): 0.071
Energy above the lowest structure with this stoichiometry (meV/atom): 0
Energy (eV per cell): -28.3

abc: 7.6621 7.6621 4.6178
angles: 90.00 90.00 90.00
Closest atoms and distances in Å follow each position.
Fractional coordinates of all 10 atoms:
Pb 0.0000 0.0000 0.0000  4 Ga 3.04
Pb 0.5000 0.5000 0.0000  4 Ga 3.04
Tl 0.1780 0.6780 0.5000  6 Ga 3.16-3.29
Tl 0.6780 0.8220 0.5000  6 Ga 3.16-3.29
Tl 0.8220 0.3220 0.5000  6 Ga 3.16-3.29
Tl 0.3220 0.1780 0.5000  6 Ga 3.16-3.29
Ga 0.3773 0.8773 0.0000  1 Ga 2.66
Ga 0.8773 0.6227 0.0000  1 Ga 2.66
Ga 0.6227 0.1227 0.0000  1 Ga 2.66
Ga 0.1227 0.3773 0.0000  1 Ga 2.66



2.
Crystalline TlGa3Pb at its relaxed geometry. Source: Alexandria, functional PBE-GGA.

Calculated values
DFT formation energy (eV per atom): 0.541
Energy above the lowest structure with this stoichiometry (meV/atom): 0
Energy (eV per cell): -12.4

abc: 5.5819 5.5819 5.5819
angles: 90.00 90.00 90.00
Closest atoms and distances in Å follow each position.
Fractional coordinates of all 5 atoms:
Pb 0.0000 0.0000 0.0000  6 Ga 2.79
Tl 0.5000 0.5000 0.5000  12 Ga 3.95
Ga 0.0000 0.5000 0.0000  2 Pb 2.79
Ga 0.0000 0.0000 0.5000  2 Pb 2.79
Ga 0.5000 0.0000 0.0000  2 Pb 2.79



3.
Crystalline Tl2Ga2Pb at its relaxed geometry. Source: Alexandria, functional PBE-GGA.

Calculated values
DFT formation energy (eV per atom): 0.086
Energy above the lowest structure with this stoichiometry (meV/atom): 14
Energy (eV per cell): -14.1

abc: 3.7861 3.7861 9.9634
angles: 79.05 79.05 90.00
Closest atoms and distances in Å follow each position.
Fractional coordinates of all 5 atoms:
Pb 0.0000 0.0000 0.0000  8 Tl 3.43, 4 Pb 3.79
Tl 0.3884 0.3884 0.2233  4 Ga 3.26, 4 Pb 3.43
Tl 0.6116 0.6116 0.7767  4 Ga 3.26, 4 Pb 3.43
Ga 0.7500 0.2500 0.5000  4 Ga 2.68
Ga 0.2500 0.7500 0.5000  4 Ga 2.68



4.
Crystalline Tl2GaPb at its relaxed geometry. Source: Alexandria, functional PBE-GGA.

Calculated values
DFT formation energy (eV per atom): 0.114
Energy above the lowest structure with this stoichiometry (meV/atom): 49
Energy (eV per cell): -11.0

abc: 3.3935 3.3935 12.0258
angles: 81.89 81.89 60.00
Closest atoms and distances in Å follow each position.
Fractional coordinates of all 4 atoms:
Pb 0.5000 0.5000 0.5000  6 Pb 3.39, 6 Tl 3.58
Tl 0.0825 0.0825 0.7525  1 Ga 2.94
Tl 0.9175 0.9175 0.2475  1 Ga 2.94
Ga 0.0000 0.0000 0.0000  2 Tl 2.94